Entry 1:
20
Lattice="5.697 0.000 0.000 0.000 5.928 0.000 -5.666 0.000 8.205" Properties=species:S:1:pos:R:3 comment="CaLa2TiO6 (PBE-GGA, optimized geometry)" dft_energy_ev_per_fu=-82.4 e_above_lowest_polymorph_ev_per_atom=0.000 dos_at_fermi_per_ev_atom=0.00 pbc="T T T"
Ca 0.000 0.000 0.000
Ca -2.833 2.964 4.102
La -2.741 0.315 6.131
La 0.092 2.649 2.029
La -0.062 3.279 6.176
La 2.771 5.613 2.074
Ti 0.015 0.000 4.102
Ti 2.848 2.964 0.000
O -0.628 0.278 2.225
O -3.461 2.686 6.327
O 1.244 4.033 0.435
O -1.589 4.859 4.537
O 1.843 1.303 0.540
O -0.990 1.661 4.643
O 1.021 4.266 3.562
O -1.812 4.625 7.664
O 1.620 1.069 3.668
O -1.213 1.895 7.770
O 3.492 3.242 1.877
O 0.659 5.649 5.980

=====

Entry 2:
10
Lattice="4.002 0.000 0.000 0.000 4.002 0.000 0.000 0.000 9.176" Properties=species:S:1:pos:R:3 comment="Y2CuNi3P4 (PBE-GGA, optimized geometry)" e_form_mev_per_atom=-913 dft_energy_ev_per_fu=-65.1 dos_at_fermi_per_ev_atom=0.27 pbc="T T T"
Y 0.000 2.001 2.253
Y 2.001 0.000 6.923
Cu 0.000 0.000 4.588
Ni 0.000 2.001 8.114
Ni 2.001 0.000 1.062
Ni 2.001 2.001 4.588
P 0.000 0.000 0.000
P 0.000 2.001 5.838
P 2.001 0.000 3.338
P 2.001 2.001 0.000

=====

Entry 3:
5
Lattice="6.004 0.000 0.000 0.000 6.004 0.000 0.000 0.000 6.004" Properties=species:S:1:pos:R:3 comment="KBaBi3 (PBE-GGA, optimized geometry)" e_form_mev_per_atom=270 dft_energy_ev_per_fu=-13.3 e_above_lowest_polymorph_ev_per_atom=0.000 dos_at_fermi_per_ev_atom=0.61 pbc="T T T"
K 0.000 0.000 0.000
Ba 3.002 3.002 3.002
Bi 0.000 0.000 3.002
Bi 0.000 3.002 0.000
Bi 3.002 0.000 0.000

=====

Entry 4:
12
Lattice="5.897 0.000 0.000 0.000 9.537 0.000 0.000 0.000 6.762" Properties=species:S:1:pos:R:3 comment="CaBiPb (PBE-GGA, optimized geometry)" e_form_mev_per_atom=-442 dft_energy_ev_per_fu=-10.9 e_above_lowest_polymorph_ev_per_atom=0.020 dos_at_fermi_per_ev_atom=0.52 pbc="T T T"
Ca 0.000 1.592 1.691
Ca 0.000 7.944 5.072
Ca 2.948 3.176 5.072
Ca 2.948 6.361 1.691
Bi 0.000 1.660 5.072
Bi 0.000 7.877 1.691
Bi 2.948 3.109 1.691
Bi 2.948 6.428 5.072
Pb 0.000 4.768 0.000
Pb 0.000 4.768 3.381
Pb 2.948 0.000 0.000
Pb 2.948 0.000 3.381

=====

Entry 5:
6
Lattice="4.127 0.000 0.000 0.000 4.127 0.000 0.000 0.000 7.915" Properties=species:S:1:pos:R:3 comment="ThTaAs (PBE-GGA, optimized geometry)" e_form_mev_per_atom=-633 dft_energy_ev_per_fu=-25.8 dos_at_fermi_per_ev_atom=0.76 pbc="T T T"
Th 1.032 1.032 1.201
Th 3.095 3.095 6.714
Ta 1.032 3.095 3.958
Ta 3.095 1.032 3.958
As 1.032 1.032 5.835
As 3.095 3.095 2.080

=====

Entry 6:
5
Lattice="5.783 0.000 0.000 0.000 5.783 0.000 0.000 0.000 5.783" Properties=species:S:1:pos:R:3 comment="CaMn3I (PBE-GGA, optimized geometry)" dft_energy_ev_per_fu=-23.2 e_above_lowest_polymorph_ev_per_atom=0.558 dos_at_fermi_per_ev_atom=1.33 pbc="T T T"
Ca 0.000 0.000 0.000
Mn 0.000 0.000 2.892
Mn 0.000 2.892 0.000
Mn 2.892 0.000 0.000
I 2.892 2.892 2.892

=====

Entry 7:
5
Lattice="5.222 0.000 0.000 0.000 5.222 0.000 0.000 0.000 5.222" Properties=species:S:1:pos:R:3 comment="TiIn3W (PBE-GGA, optimized geometry)" e_form_mev_per_atom=1159 dft_energy_ev_per_fu=-23.3 e_above_lowest_polymorph_ev_per_atom=0.000 dos_at_fermi_per_ev_atom=1.96 pbc="T T T"
Ti 0.000 0.000 0.000
In 0.000 2.611 2.611
In 2.611 0.000 2.611
In 2.611 2.611 0.000
W 2.611 2.611 2.611

=====

Entry 8:
12
Lattice="5.149 0.000 0.000 0.000 6.929 0.000 -0.106 0.000 5.156" Properties=species:S:1:pos:R:3 comment="Pm2ErTeO8 (PBE-GGA, optimized geometry)" dft_energy_ev_per_fu=-86.2 dos_at_fermi_per_ev_atom=0.63 pbc="T T T"
Pm 0.000 1.732 0.000
Pm 0.000 5.197 0.000
Er 2.522 0.000 2.578
Te 2.522 3.465 2.578
O 1.000 0.000 1.028
O 1.166 3.465 1.201
O 1.592 1.991 3.495
O 1.592 4.938 3.495
O 3.451 1.991 1.661
O 3.451 4.938 1.661
O 3.877 3.465 3.956
O 4.043 0.000 4.128

=====

Entry 9:
5
Lattice="4.470 0.000 0.000 0.000 4.470 0.000 0.000 0.000 4.602" Properties=species:S:1:pos:R:3 comment="TaAlPS2 (PBE-GGA, optimized geometry)" dft_energy_ev_per_fu=-26.5 e_above_lowest_polymorph_ev_per_atom=0.585 dos_at_fermi_per_ev_atom=0.92 pbc="T T T"
Ta 0.000 0.000 0.000
Al 2.235 2.235 2.301
P 2.235 2.235 0.000
S 0.000 2.235 2.301
S 2.235 0.000 2.301

=====

Entry 10:
12
Lattice="9.197 0.000 0.000 0.000 3.302 0.000 -3.857 0.000 9.463" Properties=species:S:1:pos:R:3 comment="HgSbRh (PBE-GGA, optimized geometry)" dft_energy_ev_per_fu=-12.0 e_above_lowest_polymorph_ev_per_atom=0.014 dos_at_fermi_per_ev_atom=0.65 pbc="T T T"
Hg 1.301 0.000 0.821
Hg -0.560 1.651 8.642
Hg 5.900 1.651 0.821
Hg 4.038 0.000 8.642
Sb -1.052 1.651 3.363
Sb 1.794 0.000 6.100
Sb 3.546 0.000 3.363
Sb 6.392 1.651 6.100
Rh -0.178 1.651 5.889
Rh 0.920 0.000 3.574
Rh 4.420 0.000 5.889
Rh 5.518 1.651 3.574

=====

Entry 11:
5
Lattice="3.732 0.000 0.000 0.000 3.732 0.000 0.000 0.000 3.732" Properties=species:S:1:pos:R:3 comment="SiB3F (PBE-GGA, optimized geometry)" dft_energy_ev_per_fu=-18.0 e_above_lowest_polymorph_ev_per_atom=0.510 dos_at_fermi_per_ev_atom=0.41 pbc="T T T"
Si 0.000 0.000 0.000
B 0.000 1.866 1.866
B 1.866 0.000 1.866
B 1.866 1.866 0.000
F 1.866 1.866 1.866

=====

Entry 12:
6
Lattice="0.000 3.344 3.344 3.344 0.000 3.344 3.344 3.344 0.000" Properties=species:S:1:pos:R:3 comment="Cr2Rh (PBE-GGA, optimized geometry)" e_form_mev_per_atom=-34 dft_energy_ev_per_fu=-26.7 dos_at_fermi_per_ev_atom=0.94 pbc="T T T"
Cr 0.000 0.000 0.000
Cr 1.672 1.672 0.000
Cr 1.672 0.000 1.672
Cr 0.000 1.672 1.672
Rh 2.508 2.508 2.508
Rh 4.180 4.180 4.180

=====

Entry 13:
16
Lattice="7.677 0.000 0.000 0.000 12.557 0.000 0.000 0.000 4.853" Properties=species:S:1:pos:R:3 comment="Pm5Tl2Ni (PBE-GGA, optimized geometry)" e_form_mev_per_atom=-278 dft_energy_ev_per_fu=-36.5 e_above_lowest_polymorph_ev_per_atom=0.000 dos_at_fermi_per_ev_atom=1.08 pbc="T T T"
Pm 0.000 0.000 0.000
Pm 0.972 3.703 0.000
Pm 1.370 7.216 2.427
Pm 2.469 0.938 2.427
Pm 2.867 9.982 0.000
Pm 3.839 6.278 0.000
Pm 4.810 2.575 0.000
Pm 5.208 11.619 2.427
Pm 6.307 5.341 2.427
Pm 6.705 8.854 0.000
Tl 0.700 10.485 2.427
Tl 3.139 4.206 2.427
Tl 4.538 8.351 2.427
Tl 6.977 2.072 2.427
Ni 0.000 6.278 0.000
Ni 3.839 0.000 0.000

=====

Entry 14:
5
Lattice="4.914 0.000 0.000 0.000 4.914 0.000 0.000 0.000 4.998" Properties=species:S:1:pos:R:3 comment="BaAgGePd2 (PBE-GGA, optimized geometry)" e_form_mev_per_atom=-323 dft_energy_ev_per_fu=-21.4 dos_at_fermi_per_ev_atom=0.76 pbc="T T T"
Ba 0.000 0.000 0.000
Ag 2.457 2.457 0.000
Ge 2.457 2.457 2.499
Pd 0.000 2.457 2.499
Pd 2.457 0.000 2.499

=====

Entry 15:
12
Lattice="3.362 0.000 0.000 -1.681 2.911 0.000 0.000 0.000 32.219" Properties=species:S:1:pos:R:3 comment="LuHf2Th (PBE-GGA, optimized geometry)" e_form_mev_per_atom=190 dft_energy_ev_per_fu=-31.1 e_above_lowest_polymorph_ev_per_atom=0.064 dos_at_fermi_per_ev_atom=1.35 pbc="T T T"
Lu 0.000 0.000 0.000
Lu 0.000 1.941 21.480
Lu 1.681 0.970 10.740
Hf 0.000 0.000 8.048
Hf 0.000 0.000 24.171
Hf 0.000 1.941 13.431
Hf 0.000 1.941 29.528
Hf 1.681 0.970 2.692
Hf 1.681 0.970 18.788
Th 0.000 0.000 16.110
Th 0.000 1.941 5.370
Th 1.681 0.970 26.849

=====

Entry 16:
5
Lattice="5.253 0.000 0.000 0.000 5.253 0.000 0.000 0.000 5.253" Properties=species:S:1:pos:R:3 comment="BaSn3Ru (PBE-GGA, optimized geometry)" e_form_mev_per_atom=-140 dft_energy_ev_per_fu=-23.9 dos_at_fermi_per_ev_atom=1.62 pbc="T T T"
Ba 0.000 0.000 0.000
Sn 0.000 2.627 2.627
Sn 2.627 0.000 2.627
Sn 2.627 2.627 0.000
Ru 2.627 2.627 2.627

=====

Entry 17:
6
Lattice="4.190 0.000 0.000 0.000 4.190 0.000 0.000 0.000 12.797" Properties=species:S:1:pos:R:3 comment="KEuAs (PBE-GGA, optimized geometry)" e_form_mev_per_atom=-572 dft_energy_ev_per_fu=-17.7 dos_at_fermi_per_ev_atom=3.57 pbc="T T T"
K 0.000 0.000 0.000
K 2.095 2.095 6.398
Eu 0.000 0.000 3.350
Eu 2.095 2.095 9.749
As 0.000 0.000 9.160
As 2.095 2.095 2.762

=====

Entry 18:
4
Lattice="4.622 0.000 0.000 0.000 4.622 0.000 0.000 0.000 4.622" Properties=species:S:1:pos:R:3 comment="ErIn3 (PBE-GGA, optimized geometry)" e_form_mev_per_atom=-384 dft_energy_ev_per_fu=-14.3 dos_at_fermi_per_ev_atom=0.39 pbc="T T T"
Er 0.000 0.000 0.000
In 0.000 2.311 2.311
In 2.311 0.000 2.311
In 2.311 2.311 0.000

=====

Entry 19:
10
Lattice="6.813 0.000 0.000 0.000 6.813 0.000 0.000 0.000 3.716" Properties=species:S:1:pos:R:3 comment="ZnNi2Sb2 (PBE-GGA, optimized geometry)" dft_energy_ev_per_fu=-21.0 e_above_lowest_polymorph_ev_per_atom=0.000 dos_at_fermi_per_ev_atom=0.74 pbc="T T T"
Zn 0.000 0.000 0.000
Zn 3.406 3.406 0.000
Ni 0.916 2.490 0.000
Ni 2.490 5.897 0.000
Ni 4.322 0.916 0.000
Ni 5.897 4.322 0.000
Sb 1.144 4.551 1.858
Sb 2.262 1.144 1.858
Sb 4.551 5.668 1.858
Sb 5.668 2.262 1.858

=====

Entry 20:
14
Lattice="-2.271 5.116 6.769 2.271 -5.116 6.769 2.271 5.116 -6.769" Properties=species:S:1:pos:R:3 comment="Ac3Ga9Ag2 (PBE-GGA, optimized geometry)" e_form_mev_per_atom=-456 dft_energy_ev_per_fu=-51.7 dos_at_fermi_per_ev_atom=0.26 pbc="T T T"
Ac 0.000 0.000 0.000
Ac 0.000 0.000 4.317
Ac 0.000 0.000 9.221
Ga 2.271 -1.328 2.292
Ga 2.271 -2.373 4.850
Ga 2.271 1.328 2.292
Ga 0.000 2.743 1.919
Ga 0.000 5.116 0.000
Ga 2.271 2.373 4.850
Ga 0.000 3.788 4.477
Ga 0.000 7.488 1.919
Ga 0.000 6.444 4.477
Ag 2.271 2.786 0.000
Ag 0.000 2.330 6.769